# 1
A geometry-optimized SrFe5 structure, computed with GGA-PBE.

Values from the calculation:
The calculated volume comes out at 93 Å³/cell. The formation energy is 0.386 eV/atom. The total energy is -6.95 eV/atom. For the density, the calculation gives 6.57 g/cm3.

Cell lengths 3.077, 3.077, 9.790 Å; angles 90.00, 90.00, 90.00 degrees
Site moments in Bohr magnetons follow the coordinates.
Element x y z (fractional)
1 Sr 0.500 0.500 0.000  -0.10
2 Fe 0.000 0.000 0.757  2.63
3 Fe 0.000 0.000 0.243  2.63
4 Fe 0.500 0.500 0.640  2.51
5 Fe 0.500 0.500 0.360  2.51
6 Fe 0.000 0.000 0.500  2.64

---

# 2
A geometry-optimized KSiPb2 structure, computed with GGA-PBE.

Values from the calculation:
The calculation puts the uncorrected formation energy at 0.139 eV/atom. The calculated volume comes out at 137 Å³/cell. The total energy is -3.35 eV/atom. For the density, the calculation gives 5.85 g/cm3.

Cell lengths 5.465, 5.465, 7.016 Å; angles 70.44, 70.44, 44.42 degrees
Element x y z (fractional)
1 K 0.205 0.205 0.260
2 Pb 0.003 0.003 0.926
3 Pb 0.789 0.789 0.670
4 Si 0.503 0.503 0.643

---

# 3
A geometry-optimized Pr4Y5In structure, computed with GGA-PBE.

Values from the calculation:
The calculated volume comes out at 346 Å³/cell. The relative energy among the computed polymorphs comes out at 153 meV/atom. The formation energy is 0.060 eV/atom. The total energy is -5.36 eV/atom. For the density, the calculation gives 5.39 g/cm3.

Cell lengths 5.885, 8.216, 8.216 Å; angles 82.63, 69.01, 69.01 degrees
Element x y z (fractional)
1 Pr 0.459 0.313 0.687
2 Pr 0.771 0.687 0.687
3 Pr 0.146 0.313 0.313
4 Pr 0.459 0.687 0.313
5 Y 0.776 0.368 0.000
6 Y 0.144 0.000 0.632
7 Y 0.776 0.000 0.368
8 Y 0.144 0.632 0.000
9 Y 0.660 0.000 0.000
10 In 0.177 0.000 0.000

---

# 4
A geometry-optimized Tm2MgFe structure, computed with GGA-PBE.

Values from the calculation:
The calculated volume comes out at 102 Å³/cell. The relative energy among the computed polymorphs comes out at 354 meV/atom. The formation energy is 0.302 eV/atom. The total energy is -4.45 eV/atom. For the density, the calculation gives 6.83 g/cm3.

Cell lengths 3.383, 3.383, 10.445 Å; angles 80.68, 80.68, 60.00 degrees
Site moments in Bohr magnetons follow the coordinates.
Element x y z (fractional)
1 Mg 0.000 0.000 0.000  0.00
2 Tm 0.107 0.107 0.679  -0.17
3 Tm 0.893 0.893 0.321  -0.17
4 Fe 0.500 0.500 0.500  1.36

---

The highest calculated volume belongs to which entry?
Pr4Y5In